[1]
{"formula": "ScTa2Ti2", "functional": "PBE-GGA", "state": "relaxed", "cell": [[-0.270, 7.633, -1.114], [-7.608, -0.447, -1.222], [-0.534, 0.443, 3.163]], "species": ["Sc", "Sc", "Ti", "Ti", "Ti", "Ti", "Ta", "Ta", "Ta", "Ta"], "fractional_positions": [[0.000, 0.000, 0.000], [0.500, 0.500, 0.000], [0.146, 0.646, 0.500], [0.646, 0.854, 0.500], [0.854, 0.354, 0.500], [0.354, 0.146, 0.500], [0.358, 0.858, 0.000], [0.858, 0.642, 0.000], [0.642, 0.142, 0.000], [0.142, 0.358, 0.000]], "sg": "P4/mbm, No. 127", "formation_energy_ev_per_atom": 0.23, "total_magnetization_mub_per_cell": 0.0, "e_above_lowest_polymorph_ev_per_fu": 0.315, "final_energy_ev_per_atom": -8.94, "dos_at_fermi_per_ev_cell": 13.76}

---

[2]
{"formula": "Sc2TaTi", "functional": "PBE-GGA", "state": "relaxed", "cell": [[0.000, 3.433, 3.433], [3.433, 0.000, 3.433], [3.433, 3.433, 0.000]], "species": ["Sc", "Sc", "Ti", "Ta"], "fractional_positions": [[0.250, 0.250, 0.250], [0.750, 0.750, 0.750], [0.000, 0.000, 0.000], [0.500, 0.500, 0.500]], "sg": "Fm-3m, No. 225", "formation_energy_ev_per_atom": 0.35, "total_magnetization_mub_per_cell": 0.0, "e_above_lowest_polymorph_ev_per_fu": 0.674, "final_energy_ev_per_atom": -7.75, "dos_at_fermi_per_ev_cell": 6.62}

---

[3]
{"formula": "Sc2TaTi", "functional": "PBE-GGA", "state": "relaxed", "cell": [[7.578, 0.000, 0.000], [0.000, 7.578, 0.000], [3.789, 3.789, 2.879]], "species": ["Sc", "Sc", "Sc", "Sc", "Ti", "Ti", "Ta", "Ta"], "fractional_positions": [[0.615, 0.125, 0.250], [0.135, 0.625, 0.250], [0.375, 0.385, 0.750], [0.875, 0.865, 0.750], [0.500, 0.500, 0.000], [0.250, 0.750, 0.500], [0.000, 0.000, 0.000], [0.750, 0.250, 0.500]], "sg": "I-42d, No. 122", "formation_energy_ev_per_atom": 0.67, "total_magnetization_mub_per_cell": 0.0, "e_above_lowest_polymorph_ev_per_fu": 1.962, "final_energy_ev_per_atom": -7.43, "dos_at_fermi_per_ev_cell": 12.93}

---

[4]
{"formula": "ScTaTi3", "functional": "PBE-GGA", "state": "relaxed", "cell": [[4.836, 0.000, 0.000], [0.000, 4.836, 0.000], [0.000, 0.000, 4.836]], "species": ["Sc", "Ti", "Ti", "Ti", "Ta"], "fractional_positions": [[0.500, 0.500, 0.500], [0.000, 0.500, 0.000], [0.000, 0.000, 0.500], [0.500, 0.000, 0.000], [0.000, 0.000, 0.000]], "sg": "Pm-3m, No. 221", "formation_energy_ev_per_atom": 0.81, "total_magnetization_mub_per_cell": 0.0, "e_above_lowest_polymorph_ev_per_fu": 0.000, "final_energy_ev_per_atom": -7.57, "dos_at_fermi_per_ev_cell": 10.19}